Sr2MgSi | PBE | optimized geometry

Cell lengths 3.6572, 3.8322, 9.3303 Å; angles 90.00, 90.00, 90.00 degrees
Closest atoms and distances in Å follow each position.
Space group Pmm2 (No. 25)
One atom of each set of equivalent atoms:
Sr  0.0000  0.0000  0.0000 (multiplicity 1)  1 Mg 3.33, 4 Si 3.38, 2 Sr 3.66
Sr  0.5000  0.5000  0.3850 (multiplicity 1)  4 Mg 3.58, 1 Si 3.63, 4 Sr 3.66-3.83
Mg  0.0000  0.0000  0.6431 (multiplicity 1)  4 Si 2.92
Si  0.5000  0.5000  0.7744 (multiplicity 1)  4 Mg 2.92

Energy relative to the elements, uncorrected, meV/atom: -10